Entry 1:
LaBeSb2Te (GGA-PBE, relaxed); space group = P4/mmm (123); magnetic moment = 0.7 μB/cell; excess energy over the best structure of this formula in the dataset = 1124.7 meV per atom; DOS at the Fermi energy = 7.31 states/eV/cell
1.0
6.1467 0.0000 0.0000
0.0000 6.1467 0.0000
0.0000 0.0000 6.0668
La Be Sb Te
1 1 2 1
direct
0.0000 0.0000 0.0000
0.5000 0.5000 0.5000
0.0000 0.5000 0.0000
0.5000 0.0000 0.0000
0.0000 0.0000 0.5000

---

Entry 2:
LaBeSbTe2 (GGA-PBE, relaxed); space group = P4/mmm (123); magnetic moment = 0.9 μB/cell; excess energy over the best structure of this formula in the dataset = 1027.5 meV per atom; DOS at the Fermi energy = 8.93 states/eV/cell
1.0
6.1132 0.0000 0.0000
0.0000 6.1132 0.0000
0.0000 0.0000 6.2736
La Be Sb Te
1 1 1 2
direct
0.0000 0.0000 0.0000
0.5000 0.5000 0.5000
0.0000 0.0000 0.5000
0.0000 0.5000 0.0000
0.5000 0.0000 0.0000

---

Entry 3:
LaBeSb2Te (GGA-PBE, relaxed); space group = P4/mmm (123); magnetic moment = 0.0 μB/cell; excess energy over the best structure of this formula in the dataset = 0.0 meV per atom; DOS at the Fermi energy = 4.31 states/eV/cell
1.0
4.9745 0.0000 0.0000
0.0000 4.9745 0.0000
0.0000 0.0000 5.3401
La Be Sb Te
1 1 2 1
direct
0.0000 0.0000 0.0000
0.5000 0.5000 0.5000
0.0000 0.5000 0.5000
0.5000 0.0000 0.5000
0.5000 0.5000 0.0000

---

Number 1: total DFT energy (no corrections) -15.6 eV for the cell shown. Number 2: total DFT energy (no corrections) -15.7 eV for the cell shown. Number 3: total DFT energy (no corrections) -21.2 eV for the cell shown.